Entry 1:
Entry from Alexandria via LeMat-Bulk: crystalline Sr2H2S2O at its relaxed geometry (PBE).

Cell lengths 3.9944, 5.1331, 8.3296 Å; angles 62.08, 92.89, 64.81 degrees
Closest atoms and distances in Å follow each position.
Positions (direct):
H: 0.8747 0.3069 0.9822  1 O 1.36
S: 0.7626 0.2429 0.4591  1 S 2.13
O: 0.0000 0.0000 0.0000  2 H 1.36
S: 0.2374 0.7571 0.5409  1 S 2.13
Sr: 0.5611 0.0080 0.2199  2 O 2.60-2.85, 3 H 2.61-2.68
Sr: 0.4389 0.9920 0.7801  2 O 2.60-2.85, 3 H 2.61-2.68
H: 0.1253 0.6931 0.0178  1 O 1.36

Computed properties:
Electronic total energy in eV/atom: -4.297
Space group: P-1 (2)

***

Entry 2:
Entry from Alexandria via LeMat-Bulk: crystalline SrH6S2O2 at its relaxed geometry (PBE).

Cell lengths 4.6391, 7.3960, 7.2110 Å; angles 124.52, 108.85, 51.22 degrees
Closest atoms and distances in Å follow each position.
Positions (direct):
H: 0.3373 0.6548 0.4835  1 S 1.35
H: 0.2416 0.2771 0.2068  1 O 0.99
S: 0.7293 0.3867 0.7299  1 H 1.35
H: 0.6627 0.3452 0.5165  1 S 1.35
H: 0.0920 0.7244 0.7939  1 O 0.99
O: 0.1792 0.1805 0.2228  2 H 0.99
H: 0.7584 0.7229 0.7932  1 O 0.99
Sr: 0.5000 0.0000 0.5000  2 O 2.57
S: 0.2707 0.6133 0.2701  1 H 1.35
O: 0.8208 0.8195 0.7772  2 H 0.99
H: 0.9080 0.2756 0.2061  1 O 0.99

Computed properties:
Electronic total energy in eV/atom: -4.620
Space group: P-1 (2)

***

Entry 3:
Entry from Alexandria via LeMat-Bulk: crystalline ThH2SO6 at its relaxed geometry (PBE).

Cell lengths 6.0644, 7.2012, 11.8842 Å; angles 90.00, 90.00, 90.00 degrees
Closest atoms and distances in Å follow each position.
Positions (direct):
O: 0.0501 0.6680 0.8467  1 S 1.49
O: 0.4971 0.0994 0.9125  1 H 0.98
H: 0.9817 0.6626 0.6600  1 O 0.98
O: 0.7500 0.5941 0.2303  1 S 1.49
Th: 0.7500 0.8505 0.9366  8 O 2.36-2.49
O: 0.2500 0.4059 0.7697  1 S 1.49
Th: 0.2500 0.3505 0.5634  8 O 2.36-2.49
O: 0.7500 0.9059 0.7303  1 S 1.49
O: 0.5501 0.1680 0.6533  1 S 1.49
S: 0.7500 0.0499 0.6401  4 O 1.48-1.49
O: 0.0501 0.8320 0.3467  1 S 1.49
Th: 0.7500 0.6495 0.4366  8 O 2.36-2.49
O: 0.2500 0.4572 0.9708  1 S 1.48
O: 0.7500 0.9572 0.5292  1 S 1.48
O: 0.9971 0.9006 0.0875  1 H 0.98
O: 0.4499 0.6680 0.8467  1 S 1.49
S: 0.7500 0.4501 0.1401  4 O 1.48-1.49
O: 0.2500 0.0428 0.4708  1 S 1.48
O: 0.4499 0.8320 0.3467  1 S 1.49
O: 0.4971 0.4006 0.4125  1 H 0.98
O: 0.9971 0.5994 0.5875  1 H 0.98
H: 0.5183 0.8374 0.1600  1 O 0.98
O: 0.9499 0.3320 0.1533  1 S 1.49
O: 0.9499 0.1680 0.6533  1 S 1.49
O: 0.0029 0.4006 0.4125  1 H 0.98
S: 0.2500 0.9501 0.3599  4 O 1.48-1.49
O: 0.2500 0.0941 0.2697  1 S 1.49
S: 0.2500 0.5499 0.8599  4 O 1.48-1.49
H: 0.0183 0.3374 0.3400  1 O 0.98
H: 0.5183 0.6626 0.6600  1 O 0.98
H: 0.4817 0.3374 0.3400  1 O 0.98
H: 0.0183 0.1626 0.8400  1 O 0.98
Th: 0.2500 0.1495 0.0634  8 O 2.36-2.49
H: 0.9817 0.8374 0.1600  1 O 0.98
O: 0.5029 0.5994 0.5875  1 H 0.98
H: 0.4817 0.1626 0.8400  1 O 0.98
O: 0.5029 0.9006 0.0875  1 H 0.98
O: 0.5501 0.3320 0.1533  1 S 1.49
O: 0.7500 0.5428 0.0292  1 S 1.48
O: 0.0029 0.0994 0.9125  1 H 0.98

Computed properties:
Electronic total energy in eV/atom: -6.859
Space group: Pnma (62)

***

Entry 4:
Entry from Alexandria via LeMat-Bulk: crystalline UH2S2O2 at its relaxed geometry (PBE).

Cell lengths 4.0593, 5.8519, 7.2149 Å; angles 54.03, 73.66, 69.71 degrees
Closest atoms and distances in Å follow each position.
Positions (direct):
S: 0.3932 0.9566 0.2571  1 H 2.02
O: 0.1400 0.5757 0.1443  1 H 1.02
H: 0.2245 0.3661 0.1850  1 O 1.02
U: 0.0000 0.0000 0.0000  2 O 1.97
S: 0.6068 0.0434 0.7429  1 H 2.02
H: 0.7755 0.6339 0.8150  1 O 1.02
O: 0.8600 0.4243 0.8557  1 H 1.02

Computed properties:
Electronic total energy in eV/atom: -6.516
Space group: C2/m (12)

***

Calculated values (g/cm³) of calculated density for the records, taken in order: 3.3 2.0 4.6 4.3.